[1]
The following is a DFT calculation (GGA-PBE) of a relaxed structure of Lu2SbRu.

Calculated values
The value obtained for the polymorph energy (0 for the lowest one) is 0.1025 eV per atom. The raw formation energy comes out at -0.54 eV/atom.

Cell and atoms, written as extended XYZ:
```
4
Lattice="4.753 0.000 0.000 0.000 4.753 0.000 0.000 0.000 3.835" Properties=species:S:1:pos:R:3 pbc="T T T"
Lu 0.000 2.376 0.000
Lu 2.376 0.000 0.000
Sb 0.000 0.000 1.918
Ru 2.376 2.376 1.918
```

***

[2]
The following is a DFT calculation (GGA-PBE) of a relaxed structure of Ce3Pa.

Calculated values
The value obtained for the polymorph energy (0 for the lowest one) is 0.0720 eV per atom. The formation enthalpy at 0 K is 0.11 eV/atom.

Cell and atoms, written as extended XYZ:
```
8
Lattice="6.460 0.000 0.000 -3.230 5.594 0.000 0.000 0.000 5.686" Properties=species:S:1:pos:R:3 pbc="T T T"
Ce 0.000 1.885 1.422
Ce -1.597 4.652 1.422
Ce 1.633 0.943 4.265
Ce 1.597 4.652 1.422
Ce 4.827 0.943 4.265
Ce 3.230 3.709 4.265
Pa 0.000 3.730 4.265
Pa 3.230 1.865 1.422
```